The following is a DFT calculation (GGA-PBE) of a relaxed structure of HgAsIr2.

Results
The calculation puts the formation energy at 0.276 eV per atom. The crystal system is monoclinic. The value obtained for the energy above the most stable polymorph in this dataset is 45.1 meV/atom.

Lattice parameters (Å, degrees): 3.8890 3.8890 6.6618 99.93 99.93 45.65
Last column: nearest neighbours and their distance in Å.
Fractional positions:
1 Hg 0.0000 0.0000 0.0000  6 Ir 2.89-2.92, 2 Hg 3.02
2 As 0.5000 0.5000 0.5000  6 Ir 2.44-2.48
3 Ir 0.2437 0.2437 0.6952  3 As 2.44-2.48
4 Ir 0.7563 0.7563 0.3048  3 As 2.44-2.48